DFT (PBE-GGA) results for a geometry-optimized Pm2Nd7Sc2 structure.

Values from the calculation:
For the formation energy, the calculation gives 154 kJ/mol of formula units. The value obtained for the total moment is 0.00 μB per formula unit. The polymorph energy (0 for the lowest one) comes out at 0 meV per atom.

Unit cell a=8.0336 b=6.1460 c=8.0336 alpha=75.27 beta=87.10 gamma=104.73
Last column: nearest neighbours and their distance in Å.
Fractional coordinates of all 11 atoms:
Pm: 0.2117 0.5845 0.7883  6 Nd 3.37-3.65, 2 Sc 3.45
Pm: 0.7883 0.4155 0.2117  6 Nd 3.37-3.65, 2 Sc 3.45
Nd: 0.4196 0.1895 0.0594  2 Sc 3.23-3.37, 3 Nd 3.25-3.56, 1 Pm 3.37
Nd: 0.0594 0.8105 0.4196  2 Sc 3.23-3.37, 3 Nd 3.25-3.56, 1 Pm 3.37
Nd: 0.5804 0.8105 0.9406  2 Sc 3.23-3.37, 3 Nd 3.25-3.56, 1 Pm 3.37
Nd: 0.9406 0.1895 0.5804  2 Sc 3.23-3.37, 3 Nd 3.25-3.56, 1 Pm 3.37
Nd: 0.4210 0.2038 0.5790  4 Nd 3.41-3.78, 2 Sc 3.60, 2 Pm 3.65-3.78
Nd: 0.0000 0.0000 0.0000  4 Nd 3.38, 2 Pm 3.49
Nd: 0.5790 0.7962 0.4210  4 Nd 3.41-3.78, 2 Sc 3.60, 2 Pm 3.65-3.78
Sc: 0.7726 0.5000 0.7726  6 Nd 3.23-3.60, 2 Pm 3.45
Sc: 0.2274 0.5000 0.2274  6 Nd 3.23-3.60, 2 Pm 3.45

=====

DFT (PBE-GGA) results for a geometry-optimized Pm2Nd7Sc2 structure.

Values from the calculation:
For the formation energy, the calculation gives 156 kJ/mol of formula units. The value obtained for the total moment is 0.00 μB per formula unit. The polymorph energy (0 for the lowest one) comes out at 2 meV per atom.

Unit cell a=3.6202 b=10.7575 c=10.7575 alpha=65.39 beta=80.31 gamma=80.31
Last column: nearest neighbours and their distance in Å.
Fractional coordinates of all 11 atoms:
Pm: 0.0000 0.6395 0.3605  6 Nd 3.41-3.44, 4 Pm 3.55-3.62
Pm: 0.5000 0.3766 0.6234  7 Nd 3.55-3.88, 4 Pm 3.55-3.62
Nd: 0.8768 0.9878 0.2587  2 Sc 3.34, 1 Pm 3.41, 6 Nd 3.62-3.72
Nd: 0.8082 0.5282 0.8553  3 Sc 3.40-3.69, 6 Nd 3.53-3.76
Nd: 0.5000 0.0715 0.9285  2 Sc 3.23, 1 Pm 3.55, 2 Nd 3.62
Nd: 0.6621 0.4313 0.2444  2 Sc 3.31, 2 Pm 3.44, 6 Nd 3.53-3.70
Nd: 0.3379 0.7556 0.5687  2 Sc 3.31, 2 Pm 3.44, 6 Nd 3.53-3.70
Nd: 0.1232 0.7413 0.0122  2 Sc 3.34, 1 Pm 3.41, 6 Nd 3.62-3.72
Nd: 0.1918 0.1447 0.4718  3 Sc 3.40-3.69, 6 Nd 3.53-3.76
Sc: 0.6820 0.9067 0.7293  7 Nd 3.23-3.40, 2 Sc 3.62
Sc: 0.3180 0.2707 0.0933  7 Nd 3.23-3.40, 2 Sc 3.62

=====

Look up the formation energy of the second one.
156 kJ/mol of formula units